[1]
DFT (GGA-PBE) results for a relaxed structure of ZrReTe2.

CIF file:
```
data_ZrReTe2
_chemical_formula_sum 'Zr2 Re2 Te4'
_cell_length_a 3.458
_cell_length_b 5.714
_cell_length_c 8.874
_cell_angle_alpha 90.00
_cell_angle_beta 90.00
_cell_angle_gamma 90.00
_space_group_name_H-M_alt 'C m m m'
_space_group_IT_number 65
_space_group_name_Hall '-C 2 2'
loop_
_atom_site_label
_atom_site_fract_x
_atom_site_fract_y
_atom_site_fract_z
Zr1 0.000 0.000 0.000
Re1 0.000 0.000 0.500
Te1 0.000 0.500 0.265
```

Computed properties:
Volume in Å³/cell: 175
E above lowest polymorph in eV per formula unit: 3.26
Spin magnetization in μB/f.u.: 0.00
Final energy in eV for the cell shown: -49.769

---

[2]
DFT (GGA-PBE) results for a relaxed structure of Tb3CdSe.

CIF file:
```
data_Tb3CdSe
_chemical_formula_sum 'Tb12 Cd4 Se4'
_cell_length_a 9.115
_cell_length_b 3.998
_cell_length_c 15.389
_cell_angle_alpha 90.00
_cell_angle_beta 90.00
_cell_angle_gamma 90.00
_space_group_name_H-M_alt 'P n m a'
_space_group_IT_number 62
loop_
_space_group_symop_operation_xyz
'x,y,z'
'-x,-y,-z'
'-x+1/2,-y,z+1/2'
'x+1/2,y,-z+1/2'
'x+1/2,-y+1/2,-z+1/2'
'-x+1/2,y+1/2,z+1/2'
'-x,y+1/2,-z'
'x,-y+1/2,z'
loop_
_atom_site_label
_atom_site_fract_x
_atom_site_fract_y
_atom_site_fract_z
Tb1 0.027 0.250 0.112
Tb2 0.158 0.250 0.533
Tb3 0.186 0.750 0.285
Cd1 0.088 0.750 0.686
Se1 0.174 0.250 0.948
```

Computed properties:
Volume in Å³/cell: 561
Spin magnetization in μB/f.u.: 0.00
Final energy in eV for the cell shown: -88.986

---

[3]
DFT (GGA-PBE) results for a relaxed structure of Ac2TlAg2Pd5.

CIF file:
```
data_Ac2TlAg2Pd5
_chemical_formula_sum 'Ac4 Tl2 Ag4 Pd10'
_cell_length_a 10.246
_cell_length_b 10.246
_cell_length_c 4.070
_cell_angle_alpha 90.00
_cell_angle_beta 90.00
_cell_angle_gamma 90.00
_space_group_name_H-M_alt 'P 4/m b m'
_space_group_IT_number 127
_space_group_name_Hall '-P 4 2ab'
loop_
_atom_site_label
_atom_site_fract_x
_atom_site_fract_y
_atom_site_fract_z
Ac1 0.175 0.325 0.000
Tl1 0.000 0.000 0.000
Ag1 0.124 0.624 0.000
Pd1 0.000 0.500 0.500
Pd2 0.055 0.797 0.500
```

Computed properties:
Volume in Å³/cell: 427
Formation energy from the elements in meV per atom: -471
Spin magnetization in μB/f.u.: 0.00
Final energy in eV for the cell shown: -93.916

---

[4]
DFT (GGA-PBE) results for a relaxed structure of Er4TmTe2.

CIF file:
```
data_Er4TmTe2
_chemical_formula_sum 'Er16 Tm4 Te8'
_cell_length_a 8.830
_cell_length_b 15.837
_cell_length_c 7.364
_cell_angle_alpha 90.00
_cell_angle_beta 126.82
_cell_angle_gamma 90.00
_space_group_name_H-M_alt 'C 1 c 1'
_space_group_IT_number 9
loop_
_space_group_symop_operation_xyz
'x,y,z'
'x,-y,z+1/2'
'x+1/2,y+1/2,z'
'x+1/2,-y+1/2,z+1/2'
loop_
_atom_site_label
_atom_site_fract_x
_atom_site_fract_y
_atom_site_fract_z
Er1 0.000 0.021 0.000
Er2 0.166 0.271 0.499
Er3 0.288 0.345 0.011
Er4 0.390 0.094 0.513
Tm1 0.289 0.125 0.911
Te1 0.049 0.212 0.043
Te2 0.162 0.461 0.546
```

Computed properties:
Volume in Å³/cell: 824
Spin magnetization in μB/f.u.: 0.00
Final energy in eV for the cell shown: -132.056

---

[5]
DFT (GGA-PBE) results for a relaxed structure of Pm4NdSm2Ho2.

CIF file:
```
data_Pm4NdSm2Ho2
_chemical_formula_sum 'Pm8 Nd2 Sm4 Ho4'
_cell_length_a 15.370
_cell_length_b 5.120
_cell_length_c 8.084
_cell_angle_alpha 90.00
_cell_angle_beta 108.51
_cell_angle_gamma 90.00
_space_group_name_H-M_alt 'C 1 2/m 1'
_space_group_IT_number 12
loop_
_space_group_symop_operation_xyz
'x,y,z'
'-x,-y,-z'
'-x,y,-z'
'x,-y,z'
'x+1/2,y+1/2,z'
'-x+1/2,-y+1/2,-z'
'-x+1/2,y+1/2,-z'
'x+1/2,-y+1/2,z'
loop_
_atom_site_label
_atom_site_fract_x
_atom_site_fract_y
_atom_site_fract_z
Pm1 0.055 0.000 0.332
Pm2 0.222 0.500 0.331
Nd1 0.000 0.500 0.000
Sm1 0.112 0.500 0.668
Ho1 0.168 0.000 0.000
```

Computed properties:
Volume in Å³/cell: 603
Formation energy from the elements in meV per atom: 16
Spin magnetization in μB/f.u.: 0.00
Final energy in eV for the cell shown: -84.434

---

[6]
DFT (GGA-PBE) results for a relaxed structure of TbLuTiIn.

CIF file:
```
data_TbLuTiIn
_chemical_formula_sum 'Tb4 Lu4 Ti4 In4'
_cell_length_a 7.378
_cell_length_b 7.378
_cell_length_c 7.378
_cell_angle_alpha 90.00
_cell_angle_beta 90.00
_cell_angle_gamma 90.00
_space_group_name_H-M_alt 'F -4 3 m'
_space_group_IT_number 216
_space_group_name_Hall 'F -4 2 3'
loop_
_atom_site_label
_atom_site_fract_x
_atom_site_fract_y
_atom_site_fract_z
Tb1 0.000 0.000 0.000
Lu1 0.000 0.000 0.500
Ti1 0.250 0.250 0.750
In1 0.250 0.250 0.250
```

Computed properties:
Volume in Å³/cell: 402
Formation energy from the elements in meV per atom: -86
Spin magnetization in μB/f.u.: 2.77
Final energy in eV for the cell shown: -80.520

---

[7]
DFT (GGA-PBE) results for a relaxed structure of Ni5Ir.

CIF file:
```
data_Ni5Ir
_chemical_formula_sum 'Ni10 Ir2'
_cell_length_a 4.143
_cell_length_b 2.588
_cell_length_c 13.070
_cell_angle_alpha 90.00
_cell_angle_beta 90.00
_cell_angle_gamma 90.00
_space_group_name_H-M_alt 'A m m 2'
_space_group_IT_number 38
loop_
_space_group_symop_operation_xyz
'x,y,z'
'-x,-y,z'
'-x,y,z'
'x,-y,z'
'x,y+1/2,z+1/2'
'-x,-y+1/2,z+1/2'
'-x,y+1/2,z+1/2'
'x,-y+1/2,z+1/2'
loop_
_atom_site_label
_atom_site_fract_x
_atom_site_fract_y
_atom_site_fract_z
Ni1 0.000 0.000 0.000
Ni2 0.000 0.000 0.327
Ni3 0.000 0.000 0.662
Ni4 0.500 0.000 0.215
Ni5 0.500 0.000 0.554
Ir1 0.500 0.000 0.884
```

Computed properties:
Volume in Å³/cell: 140
Formation energy from the elements in meV per atom: 43
E above lowest polymorph in eV per formula unit: 0.16
Spin magnetization in μB/f.u.: 3.78
Final energy in eV for the cell shown: -75.015

---

[8]
DFT (GGA-PBE) results for a relaxed structure of BaTl2Hg4.

CIF file:
```
data_BaTl2Hg4
_chemical_formula_sum 'Ba2 Tl4 Hg8'
_cell_length_a 9.792
_cell_length_b 8.325
_cell_length_c 6.259
_cell_angle_alpha 90.00
_cell_angle_beta 123.51
_cell_angle_gamma 90.00
_space_group_name_H-M_alt 'C 1 2/m 1'
_space_group_IT_number 12
loop_
_space_group_symop_operation_xyz
'x,y,z'
'-x,-y,-z'
'-x,y,-z'
'x,-y,z'
'x+1/2,y+1/2,z'
'-x+1/2,-y+1/2,-z'
'-x+1/2,y+1/2,-z'
'x+1/2,-y+1/2,z'
loop_
_atom_site_label
_atom_site_fract_x
_atom_site_fract_y
_atom_site_fract_z
Ba1 0.000 0.000 0.000
Tl1 0.039 0.500 0.783
Hg1 0.192 0.186 0.670
```

Computed properties:
Volume in Å³/cell: 425
Formation energy from the elements in meV per atom: -228
E above lowest polymorph in eV per formula unit: 0.05
Spin magnetization in μB/f.u.: 0.00
Final energy in eV for the cell shown: -18.912